# 1
Entry from Alexandria: SiSb2Se after structural relaxation (GGA-PBE).

a = 7.3035 Å, b = 7.3035 Å, c = 7.3035 Å
α = 33.09°, β = 33.09°, γ = 33.09°
Fractional coordinates of all 4 atoms:
Sb  0.0135  0.0135  0.0135
Sb  0.2419  0.2419  0.2419
Se  0.5026  0.5026  0.5026
Si  0.7419  0.7419  0.7419

Computed properties:
E_form (uncorrected): 0.12 eV/atom
magnetic moment: 0.00 Bohr magnetons per cell
D(E_F): 0.75 states/eV/cell
VASP energy: -4.167 eV per atom

***

# 2
Entry from Alexandria: Nb2Ni3Pt8 after structural relaxation (GGA-PBE).

a = 4.5970 Å, b = 7.4360 Å, c = 7.1834 Å
α = 121.17°, β = 84.24°, γ = 90.00°
Each line ends with the local moment (μB).
Fractional coordinates of all 13 atoms:
Nb  0.2907  0.3342  0.6683  -0.03
Nb  0.7093  0.6658  0.3317  -0.03
Ni  0.5000  0.0000  0.0000  0.37
Ni  0.0000  0.1748  0.0000  0.53
Ni  0.0000  0.8252  0.0000  0.53
Pt  0.2263  0.5563  0.1125  0.02
Pt  0.7737  0.4437  0.8875  0.02
Pt  0.8526  0.1919  0.3838  0.05
Pt  0.1474  0.8081  0.6162  0.05
Pt  0.6320  0.6390  0.6870  0.03
Pt  0.6320  0.0479  0.6870  0.03
Pt  0.3680  0.9521  0.3130  0.03
Pt  0.3680  0.3610  0.3130  0.03

Computed properties:
magnetic moment: 1.60 Bohr magnetons per cell
energy of formation: -173 meV/atom
D(E_F): 13.16 states/eV/cell
VASP energy: -6.773 eV per atom

***

# 3
Entry from Alexandria: Sn2Sb2Se after structural relaxation (GGA-PBE).

a = 4.2345 Å, b = 4.2345 Å, c = 8.6803 Å
α = 75.88°, β = 75.88°, γ = 90.00°
Fractional coordinates of all 5 atoms:
Sb  0.7500  0.2500  0.5000
Sb  0.2500  0.7500  0.5000
Sn  0.4072  0.4072  0.1856
Sn  0.5928  0.5928  0.8144
Se  0.0000  0.0000  0.0000

Computed properties:
E_form (uncorrected): 0.05 eV/atom
magnetic moment: 0.00 Bohr magnetons per cell
D(E_F): 1.45 states/eV/cell
VASP energy: -3.898 eV per atom

***

# 4
Entry from Alexandria: VPtRh4 after structural relaxation (GGA-PBE).

a = 3.8384 Å, b = 3.8830 Å, c = 6.0286 Å
α = 90.00°, β = 108.56°, γ = 90.00°
Fractional coordinates of all 6 atoms:
V  0.0000  0.0000  0.0000
Pt  0.5000  0.5000  0.0000
Rh  0.3400  0.0000  0.6801
Rh  0.6600  0.0000  0.3199
Rh  0.8333  0.5000  0.6667
Rh  0.1667  0.5000  0.3333

Computed properties:
magnetic moment: 0.00 Bohr magnetons per cell
energy of formation: -298 meV/atom
D(E_F): 4.67 states/eV/cell
VASP energy: -7.726 eV per atom

***

# 5
Entry from Alexandria: Ac11Pm9Pr4 after structural relaxation (GGA-PBE).

a = 3.8982 Å, b = 16.2865 Å, c = 16.2865 Å
α = 112.94°, β = 90.00°, γ = 90.00°
Each line ends with the local moment (μB).
Fractional coordinates of all 24 atoms:
Ac  0.0000  0.5969  0.9579  0.00
Ac  0.0000  0.4031  0.0421  0.00
Ac  0.0000  0.9579  0.5969  0.00
Ac  0.0000  0.0421  0.4031  0.00
Ac  0.0000  0.6319  0.3681  0.00
Ac  0.0000  0.3681  0.6319  0.00
Ac  0.0000  0.8405  0.1595  0.00
Ac  0.0000  0.1595  0.8405  0.00
Ac  0.0000  0.0000  0.0000  0.00
Ac  0.0000  0.7088  0.7088  0.00
Ac  0.0000  0.2912  0.2912  0.00
Pm  0.5000  0.6320  0.1663  0.00
Pm  0.5000  0.3680  0.8337  0.00
Pm  0.5000  0.1663  0.6320  0.00
Pm  0.5000  0.8337  0.3680  0.00
Pm  0.5000  0.7877  0.9322  0.00
Pm  0.5000  0.2123  0.0678  0.00
Pm  0.5000  0.9322  0.7877  0.00
Pm  0.5000  0.0678  0.2123  0.00
Pm  0.5000  0.5000  0.5000  0.08
Pr  0.5000  0.5555  0.7595  0.00
Pr  0.5000  0.4445  0.2405  0.00
Pr  0.5000  0.7595  0.5555  0.00
Pr  0.5000  0.2405  0.4445  0.00

Computed properties:
magnetic moment: 0.19 Bohr magnetons per cell
energy of formation: 80 meV/atom
D(E_F): 37.28 states/eV/cell
VASP energy: -4.381 eV per atom

***

# 6
Entry from Alexandria: NaPm2C2N6 after structural relaxation (GGA-PBE).

a = 6.5639 Å, b = 5.9269 Å, c = 6.3389 Å
α = 112.44°, β = 89.94°, γ = 56.41°
Each line ends with the local moment (μB).
Fractional coordinates of all 11 atoms:
Na  0.5000  0.0000  0.5000  0.00
Pm  0.8292  0.3420  0.8062  0.01
Pm  0.1708  0.6580  0.1938  0.01
C  0.1872  0.6262  0.7301  -0.01
C  0.8128  0.3738  0.2699  -0.01
N  0.4076  0.5249  0.7891  0.16
N  0.9305  0.4772  0.2118  0.16
N  0.0927  0.8148  0.6314  0.03
N  0.0695  0.5228  0.7882  0.16
N  0.9073  0.1852  0.3686  0.03
N  0.5924  0.4751  0.2109  0.16

Computed properties:
E_form (uncorrected): -0.31 eV/atom
magnetic moment: 1.02 Bohr magnetons per cell
D(E_F): 4.17 states/eV/cell
VASP energy: -7.516 eV per atom

***

# 7
Entry from Alexandria: Na3HfAl after structural relaxation (GGA-PBE).

a = 6.0301 Å, b = 6.0301 Å, c = 6.0301 Å
α = 90.00°, β = 90.00°, γ = 90.00°
Each line ends with the local moment (μB).
Fractional coordinates of all 5 atoms:
Na  0.0000  0.5000  0.0000  0.04
Na  0.0000  0.0000  0.5000  0.04
Na  0.5000  0.0000  0.0000  0.04
Hf  0.0000  0.0000  0.0000  1.54
Al  0.5000  0.5000  0.5000  0.01

Computed properties:
magnetic moment: 3.24 Bohr magnetons per cell
energy of formation: 1552 meV/atom
D(E_F): 10.07 states/eV/cell
VASP energy: -1.979 eV per atom

***

# 8
Entry from Alexandria: PmY6Sc3 after structural relaxation (GGA-PBE).

a = 9.6703 Å, b = 9.6703 Å, c = 6.7432 Å
α = 44.19°, β = 44.19°, γ = 60.00°
Each line ends with the local moment (μB).
Fractional coordinates of all 10 atoms:
Pm  0.8995  0.8995  0.3015  0.11
Y  0.9014  0.5596  0.2976  0.02
Y  0.2414  0.9014  0.2976  0.02
Y  0.5596  0.2414  0.2976  0.02
Y  0.0655  0.4010  0.7978  0.02
Y  0.7357  0.0655  0.7978  0.02
Y  0.4010  0.7357  0.7978  0.02
Sc  0.3988  0.3988  0.8035  0.20
Sc  0.6390  0.6390  0.0832  0.20
Sc  0.1581  0.1581  0.5257  0.20

Computed properties:
magnetic moment: 1.13 Bohr magnetons per cell
energy of formation: 171 meV/atom
D(E_F): 18.87 states/eV/cell
VASP energy: -6.081 eV per atom

***

# 9
Entry from Alexandria: Pm6HoGa2 after structural relaxation (GGA-PBE).

a = 3.7325 Å, b = 6.6476 Å, c = 11.6852 Å
α = 76.22°, β = 80.81°, γ = 73.70°
Fractional coordinates of all 9 atoms:
Pm  0.6885  0.4988  0.1242
Pm  0.3115  0.5012  0.8758
Pm  0.3099  0.7870  0.5933
Pm  0.9724  0.7308  0.3244
Pm  0.0276  0.2692  0.6756
Pm  0.6901  0.2130  0.4067
Ho  0.0000  0.0000  0.0000
Ga  0.3563  0.0944  0.1929
Ga  0.6437  0.9056  0.8071

Computed properties:
magnetic moment: 0.00 Bohr magnetons per cell
energy of formation: -241 meV/atom
D(E_F): 9.15 states/eV/cell
VASP energy: -4.590 eV per atom

***

# 10
Entry from Alexandria: CaZnTcO6 after structural relaxation (GGA-PBE).

a = 5.2406 Å, b = 5.2406 Å, c = 9.9809 Å
α = 90.00°, β = 90.00°, γ = 120.00°
Each line ends with the local moment (μB).
Fractional coordinates of all 18 atoms:
Ca  0.0000  0.0000  0.0000  0.00
Ca  0.0000  0.0000  0.5000  0.00
Zn  0.6667  0.3333  0.2500  0.11
Zn  0.3333  0.6667  0.7500  0.11
Tc  0.3333  0.6667  0.2500  -0.11
Tc  0.6667  0.3333  0.7500  -0.11
O  0.6157  0.6386  0.1415  0.15
O  0.0230  0.3843  0.1415  0.15
O  0.3843  0.0230  0.6415  0.15
O  0.9770  0.6157  0.8585  0.15
O  0.3614  0.3843  0.3585  0.15
O  0.0230  0.6386  0.3585  0.15
O  0.6386  0.0230  0.8585  0.15
O  0.6157  0.9770  0.3585  0.15
O  0.9770  0.3614  0.6415  0.15
O  0.3614  0.9770  0.1415  0.15
O  0.6386  0.6157  0.6415  0.15
O  0.3843  0.3614  0.8585  0.15

Computed properties:
E_form (uncorrected): -1.47 eV/atom
magnetic moment: 2.15 Bohr magnetons per cell
D(E_F): 11.59 states/eV/cell
VASP energy: -6.295 eV per atom

***

# 11
Entry from Alexandria: Ac6As2Ir3I after structural relaxation (GGA-PBE).

a = 4.4127 Å, b = 9.1912 Å, c = 10.1043 Å
α = 105.37°, β = 102.61°, γ = 90.00°
Fractional coordinates of all 12 atoms:
Ac  0.3197  0.9234  0.6395
Ac  0.6647  0.5879  0.3293
Ac  0.6803  0.0766  0.3605
Ac  0.9948  0.2829  0.9895
Ac  0.0052  0.7171  0.0105
Ac  0.3353  0.4121  0.6706
As  0.8365  0.6766  0.6731
As  0.1635  0.3234  0.3269
Ir  0.5000  0.5000  0.0000
Ir  0.8360  0.1705  0.6720
Ir  0.1640  0.8295  0.3280
I  0.5000  0.0000  0.0000

Computed properties:
E_form (uncorrected): -0.94 eV/atom
magnetic moment: 0.00 Bohr magnetons per cell
D(E_F): 5.05 states/eV/cell
VASP energy: -6.116 eV per atom

***

# 12
Entry from Alexandria: CaTaIn2 after structural relaxation (GGA-PBE).

a = 10.3000 Å, b = 10.3000 Å, c = 10.3000 Å
α = 18.34°, β = 18.34°, γ = 18.34°
Fractional coordinates of all 4 atoms:
Ca  0.7500  0.7500  0.7500
In  0.9948  0.9948  0.9948
In  0.5052  0.5052  0.5052
Ta  0.2500  0.2500  0.2500

Computed properties:
magnetic moment: 0.00 Bohr magnetons per cell
energy of formation: 140 meV/atom
D(E_F): 1.85 states/eV/cell
VASP energy: -4.693 eV per atom